Entry 1:
Compound: LaAgPtF2
Source: Alexandria via LeMat-Bulk
Functional: PBE-GGA
Structure: optimized geometry

The structure in POSCAR format:
```
LaAgPtF2
1.0
4.3692 0.0000 0.0000
0.0000 4.3692 0.0000
0.0000 0.0000 5.2946
La Ag Pt F
1 1 1 2
Direct
0.0000 0.0000 0.0000
0.5000 0.5000 0.5000
0.5000 0.5000 0.0000
0.0000 0.5000 0.5000
0.5000 0.0000 0.5000
```

## Properties
Final energy in eV/cell: -24.00
Calculated volume in Å³/cell: 101.07
Formation energy from raw total energies in eV per atom: -1.288
Crystal system: tetragonal
DOS at the Fermi energy in states/eV/atom: 0.3350

Entry 2:
Compound: RbLaAgF2
Source: Alexandria via LeMat-Bulk
Functional: PBE-GGA
Structure: optimized geometry

The structure in POSCAR format:
```
RbLaAgF2
1.0
4.9108 0.0000 0.0000
0.0000 4.9108 0.0000
0.0000 0.0000 5.6239
Rb La Ag F
1 1 1 2
Direct
0.0000 0.0000 0.0000
0.5000 0.5000 0.0000
0.0000 0.0000 0.5000
0.0000 0.5000 0.5000
0.5000 0.0000 0.5000
```

## Properties
Final energy in eV/cell: -14.89
Calculated volume in Å³/cell: 135.62
Formation energy from raw total energies in eV per atom: -0.480
Crystal system: tetragonal
DOS at the Fermi energy in states/eV/atom: 1.0027

Entry 3:
Compound: Rb2LaAgF6
Source: Alexandria via LeMat-Bulk
Functional: PBE-GGA
Structure: optimized geometry

The structure in POSCAR format:
```
Rb2LaAgF6
1.0
6.6312 0.0000 0.0000
0.0000 6.8147 0.0000
-6.5193 0.0000 9.1995
Rb La Ag F
4 2 2 12
Direct
0.2377 0.0461 0.2493
0.2377 0.4539 0.7493
0.7623 0.5461 0.2507
0.7623 0.9539 0.7507
0.5000 0.0000 0.0000
0.5000 0.5000 0.5000
0.0000 0.0000 0.5000
0.0000 0.5000 0.0000
0.1734 0.1921 0.9568
0.1734 0.3079 0.4568
0.2597 0.7215 0.9494
0.2597 0.7785 0.4494
0.3455 0.0369 0.7551
0.3455 0.4631 0.2551
0.6545 0.5369 0.7449
0.6545 0.9631 0.2449
0.7403 0.2215 0.5506
0.7403 0.2785 0.0506
0.8266 0.6921 0.5432
0.8266 0.8079 0.0432
```

## Properties
Final energy in eV/cell: -100.58
Calculated volume in Å³/cell: 415.73
Formation energy from raw total energies in eV per atom: -2.935
Crystal system: monoclinic
DOS at the Fermi energy in states/eV/atom: 0.0000

Entry 4:
Compound: Rb2LaAgF6
Source: Alexandria via LeMat-Bulk
Functional: PBE-GGA
Structure: optimized geometry

The structure in POSCAR format:
```
Rb2LaAgF6
1.0
0.0000 4.7623 4.7623
4.7623 0.0000 4.7623
4.7623 4.7623 0.0000
Rb La Ag F
2 1 1 6
Direct
0.2500 0.2500 0.2500
0.7500 0.7500 0.7500
0.0000 0.0000 0.0000
0.5000 0.5000 0.5000
0.2422 0.2422 0.7578
0.2422 0.7578 0.2422
0.2422 0.7578 0.7578
0.7578 0.2422 0.2422
0.7578 0.2422 0.7578
0.7578 0.7578 0.2422
```

## Properties
Final energy in eV/cell: -49.99
Calculated volume in Å³/cell: 216.01
Formation energy from raw total energies in eV per atom: -2.904
Crystal system: cubic
DOS at the Fermi energy in states/eV/atom: 0.0000

Entry 5:
Compound: LaRe2AgF
Source: Alexandria via LeMat-Bulk
Functional: PBE-GGA
Structure: optimized geometry

The structure in POSCAR format:
```
LaRe2AgF
1.0
5.1260 0.0000 0.0000
0.0000 5.1260 0.0000
0.0000 0.0000 4.5034
La Re Ag F
1 2 1 1
Direct
0.0000 0.0000 0.0000
0.0000 0.5000 0.0000
0.5000 0.0000 0.0000
0.5000 0.5000 0.5000
0.0000 0.0000 0.5000
```

## Properties
Final energy in eV/cell: -27.66
Calculated volume in Å³/cell: 118.33
Formation energy from raw total energies in eV per atom: 1.377
Crystal system: tetragonal
DOS at the Fermi energy in states/eV/atom: 0.7228

Entry 6:
Compound: LaAg2RuF
Source: Alexandria via LeMat-Bulk
Functional: PBE-GGA
Structure: optimized geometry

The structure in POSCAR format:
```
LaAg2RuF
1.0
4.6165 0.0000 0.0000
0.0000 4.6165 0.0000
0.0000 0.0000 4.6589
La Ag Ru F
1 2 1 1
Direct
0.0000 0.0000 0.0000
0.0000 0.5000 0.5000
0.5000 0.0000 0.5000
0.5000 0.5000 0.0000
0.5000 0.5000 0.5000
```

## Properties
Final energy in eV/cell: -21.83
Calculated volume in Å³/cell: 99.29
Formation energy from raw total energies in eV per atom: -0.010
Crystal system: tetragonal
DOS at the Fermi energy in states/eV/atom: 0.4650

Entry 7:
Compound: LaAgSbF
Source: Alexandria via LeMat-Bulk
Functional: PBE-GGA
Structure: optimized geometry

The structure in POSCAR format:
```
LaAgSbF
1.0
4.3269 0.0000 0.0000
0.0000 4.3269 0.0000
0.0000 0.0000 9.2740
La Ag Sb F
2 2 2 2
Direct
0.2500 0.2500 0.1649
0.7500 0.7500 0.8351
0.2500 0.7500 0.5000
0.7500 0.2500 0.5000
0.2500 0.2500 0.7037
0.7500 0.7500 0.2963
0.2500 0.7500 0.0000
0.7500 0.2500 0.0000
```

## Properties
Final energy in eV/cell: -41.91
Calculated volume in Å³/cell: 173.63
Formation energy from raw total energies in eV per atom: -1.796
Crystal system: tetragonal
DOS at the Fermi energy in states/eV/atom: 0.0694

Entry 8:
Compound: SrLaAgF2
Source: Alexandria via LeMat-Bulk
Functional: PBE-GGA
Structure: optimized geometry

The structure in POSCAR format:
```
SrLaAgF2
1.0
4.6043 0.0000 0.0000
0.0000 4.6043 0.0000
0.0000 0.0000 8.3411
Sr La Ag F
1 1 1 2
Direct
0.0000 0.0000 0.0000
0.0000 0.0000 0.5000
0.5000 0.5000 0.0000
0.0000 0.5000 0.5000
0.5000 0.0000 0.5000
```

## Properties
Final energy in eV/cell: -23.03
Calculated volume in Å³/cell: 176.82
Formation energy from raw total energies in eV per atom: -1.965
Crystal system: tetragonal
DOS at the Fermi energy in states/eV/atom: 0.2032